1.
MgCo2As | PBE-GGA | relaxed

## Properties
* energy: -4.914 eV per atom
* space group: No. 160
* ΔH_f (0 K): 0.200 eV per atom
* magnetic moment: 2.78 μB per formula unit

abc: 8.243 8.243 8.243
angles: 20.37 20.37 20.37
Site moments in Bohr magnetons follow the coordinates.
Positions (direct):
Co (0.258, 0.258, 0.258)  1.66
Co (0.999, 0.999, 0.999)  1.23
Mg (0.506, 0.506, 0.506)  -0.01
As (0.737, 0.737, 0.737)  0.02

***

2.
PrHoErSc | PBE-GGA | relaxed

## Properties
* energy: -4.955 eV per atom
* energy relative to the lowest polymorph listed for this composition: 47 meV per atom
* space group: No. 216
* ΔH_f (0 K): 0.108 eV per atom
* magnetic moment: 0.00 μB per formula unit

abc: 5.573 5.573 5.573
angles: 60.00 60.00 60.00
Positions (direct):
Sc (0.000, 0.000, 0.000)
Ho (0.250, 0.250, 0.250)
Er (0.500, 0.500, 0.500)
Pr (0.750, 0.750, 0.750)

***

3.
CdWSe | PBE-GGA | relaxed

## Properties
* uncorrected formation energy: 2.967 eV per formula unit
* energy: -4.795 eV per atom
* energy relative to the lowest polymorph listed for this composition: 894 meV per atom
* space group: No. 216
* magnetic moment: 0.00 μB per formula unit

abc: 4.457 4.457 4.457
angles: 60.00 60.00 60.00
Positions (direct):
Se (0.500, 0.500, 0.500)
W (0.750, 0.750, 0.750)
Cd (0.000, 0.000, 0.000)

***

4.
ZnAgMo2 | PBE-GGA | relaxed

## Properties
* energy: -6.052 eV per atom
* space group: No. 119
* ΔH_f (0 K): 0.395 eV per atom
* magnetic moment: 0.00 μB per formula unit

abc: 4.866 4.866 4.866
angles: 131.57 131.57 70.91
Positions (direct):
Mo (0.000, 0.000, 0.000)
Mo (0.250, 0.750, 0.500)
Zn (0.500, 0.500, 0.000)
Ag (0.750, 0.250, 0.500)

***

5.
HgIrAu2 | PBE-GGA | relaxed

## Properties
* energy: -3.617 eV per atom
* space group: No. 166
* ΔH_f (0 K): 0.313 eV per atom
* magnetic moment: 0.83 μB per formula unit

abc: 9.954 9.954 9.954
angles: 16.82 16.82 16.82
Site moments in Bohr magnetons follow the coordinates.
Positions (direct):
Au (0.495, 0.495, 0.495)  0.02
Au (0.005, 0.005, 0.005)  0.02
Hg (0.250, 0.250, 0.250)  0.00
Ir (0.750, 0.750, 0.750)  0.80

***

6.
AcPm5Al4 | PBE-GGA | relaxed

## Properties
* energy: -4.561 eV per atom
* space group: No. 123
* ΔH_f (0 K): -0.278 eV per atom
* magnetic moment: 0.00 μB per formula unit

abc: 3.696 3.696 20.549
angles: 90.00 90.00 90.00
Positions (direct):
Pm (0.500, 0.500, 0.861)
Pm (0.500, 0.500, 0.680)
Pm (0.500, 0.500, 0.320)
Pm (0.500, 0.500, 0.500)
Pm (0.500, 0.500, 0.139)
Al (0.000, 0.000, 0.409)
Al (0.000, 0.000, 0.773)
Al (0.000, 0.000, 0.591)
Al (0.000, 0.000, 0.227)
Ac (0.000, 0.000, 0.000)